Be2AlCrSn | Alexandria via LeMat-Bulk | PBE | optimized geometry; total moment = 0.0653 μB per atom; DFT formation energy = 710 kJ/mol of formula units; raw total energy = -3.492 eV/atom
1.0
4.2080 0.0000 0.0000
0.0000 5.4120 0.0000
0.0000 0.0000 4.2080
Cr Al Be Sn
1 1 2 1
Cartesian
2.1040 2.7060 2.1040 Cr
0.0000 0.0000 0.0000 Al
0.0000 0.0000 2.1040 Be
2.1040 0.0000 0.0000 Be
0.0000 2.7060 0.0000 Sn

PrDy3Ni8 | Alexandria via LeMat-Bulk | PBE | optimized geometry; total moment = 0.0000 μB per atom; DFT formation energy = -468 kJ/mol of formula units; raw total energy = -5.807 eV/atom
1.0
-3.7545 -1.2619 3.2007
-3.2119 -3.7649 -1.2009
2.7186 -7.1708 4.4129
Dy Ni Pr
3 8 1
Cartesian
-0.2303 -8.1631 4.6137 Dy
-2.1092 -6.1148 3.2173 Dy
2.7092 -7.1606 4.4060 Dy
-0.1106 -4.0865 2.3102 Ni
-4.6533 -9.6708 4.9258 Ni
-2.5588 -3.5182 1.6852 Ni
-2.7593 -9.0342 3.3111 Ni
-3.0330 -7.7715 5.5316 Ni
-4.1670 -5.4033 1.0840 Ni
-2.2419 -10.1772 5.5110 Ni
-4.4386 -4.1501 3.2878 Ni
-5.0795 -7.0838 3.4021 Pr

ZrTeI2O | Alexandria via LeMat-Bulk | PBE | optimized geometry; total moment = 0.0000 μB per atom; E_form (uncorrected) = 0.310 eV per atom; raw total energy = -3.640 eV/atom
1.0
5.3585 0.0000 0.0000
0.0000 5.3585 0.0000
0.0000 0.0000 4.2978
I O Zr Te
2 1 1 1
Cartesian
2.6793 0.0000 0.0000 I
0.0000 2.6793 0.0000 I
0.0000 0.0000 0.0000 O
2.6793 2.6793 2.1489 Zr
0.0000 0.0000 2.1489 Te